A relaxed structure of PmHo6Sc. Source: Alexandria, functional PBE-GGA.

Geometry as POSCAR:
```
PmHo6Sc
1.0
4.9464 0.0000 0.0000
0.0000 6.9754 -0.7864
0.0000 0.7845 6.9756
Ho Pm Sc
6 1 1
Direct
0.5000 0.5000 0.0000
0.0000 0.2543 0.2543
0.5000 0.0000 0.5000
0.0000 0.2538 0.7462
0.0000 0.7462 0.2538
0.0000 0.7457 0.7457
0.5000 0.0000 0.0000
0.5000 0.5000 0.5000
```

Properties
SG: No. 123
Raw total energy (eV per atom): -4.788


A relaxed structure of Na2Nd2B2O7. Source: Alexandria, functional PBE-GGA.

Geometry as POSCAR:
```
Na2Nd2B2O7
1.0
6.4954 0.0000 0.0000
0.0000 10.5855 0.0054
0.0000 -5.0844 9.6139
O B Nd Na
28 8 8 8
Direct
0.6216 0.4011 0.5253
0.6459 0.1556 0.1252
0.2549 0.2718 0.3441
0.6758 0.4414 0.0976
0.3784 0.5989 0.4747
0.2580 0.8669 0.1826
0.1459 0.3444 0.8748
0.8784 0.9011 0.5253
0.8541 0.6556 0.1252
0.4627 0.0887 0.6536
0.8242 0.9414 0.0976
0.2359 0.8678 0.6751
0.2641 0.3678 0.6751
0.0373 0.5887 0.6536
0.7451 0.7282 0.6559
0.3242 0.5586 0.9024
0.1216 0.0989 0.4747
0.5373 0.9113 0.3464
0.7641 0.1322 0.3249
0.9627 0.4113 0.3464
0.7580 0.6331 0.8174
0.2451 0.7718 0.3441
0.7549 0.2282 0.6559
0.7359 0.6322 0.3249
0.3541 0.8444 0.8748
0.2420 0.3669 0.1826
0.1758 0.0586 0.9024
0.7420 0.1331 0.8174
0.1523 0.3502 0.2880
0.7551 0.5765 0.1786
0.2449 0.4235 0.8214
0.6523 0.1498 0.7120
0.3477 0.8502 0.2880
0.2551 0.9235 0.8214
0.8477 0.6498 0.7120
0.7449 0.0765 0.1786
0.4190 0.5895 0.6873
0.9190 0.9105 0.3127
0.5810 0.4105 0.3127
0.9594 0.3203 0.5181
0.5406 0.8203 0.5181
0.0810 0.0895 0.6873
0.0406 0.6797 0.4819
0.4594 0.1797 0.4819
0.4431 0.2413 0.9770
0.7810 0.4519 0.8902
0.5569 0.7587 0.0230
0.9431 0.2587 0.0230
0.2190 0.5481 0.1098
0.0569 0.7413 0.9770
0.7190 0.9519 0.8902
0.2810 0.0481 0.1098
```

Properties
SG: No. 14
Uncorrected formation energy (eV/atom): -2.7369
Raw total energy (eV per atom): -7.370


A relaxed structure of BaSr2Sc. Source: Alexandria, functional PBE-GGA.

Geometry as POSCAR:
```
BaSr2Sc
1.0
-4.2643 -3.7458 -0.5970
2.6404 -3.5754 3.5733
-2.7193 2.3938 4.4044
Sr Ba Sc
2 1 1
Direct
0.0000 0.0000 0.0000
0.0000 0.5000 0.5000
0.5000 0.5000 0.0000
0.5000 0.0000 0.5000
```

Properties
SG: No. 123
Raw total energy (eV per atom): -2.597


A relaxed structure of NdDy14Tm. Source: Alexandria, functional PBE-GGA.

Geometry as POSCAR:
```
NdDy14Tm
1.0
7.0713 -0.8566 0.0000
-2.7951 6.5517 0.0000
0.0000 0.0000 11.4605
Dy Tm Nd
14 1 1
Direct
0.5415 0.9579 0.0000
0.3745 0.1246 0.2490
0.3745 0.1246 0.7510
0.8754 0.6255 0.2490
0.3749 0.6251 0.7494
0.8754 0.6255 0.7510
0.7084 0.7922 0.5000
0.5416 0.4584 0.0000
0.3749 0.6251 0.2506
0.0421 0.4585 0.0000
0.0419 0.9581 0.0000
0.8753 0.1247 0.2482
0.2078 0.2916 0.5000
0.8753 0.1247 0.7518
0.2082 0.7918 0.5000
0.7084 0.2916 0.5000
```

Properties
SG: No. 38
Raw total energy (eV per atom): -4.601


A relaxed structure of PmY3Sc2. Source: Alexandria, functional PBE-GGA.

Geometry as POSCAR:
```
PmY3Sc2
1.0
-1.2772 -5.3237 0.1705
7.5689 -1.6895 3.9461
-6.3180 1.6995 5.7367
Y Sc Pm
6 4 2
Direct
0.4930 0.1105 0.6296
0.9930 0.3704 0.8895
0.9930 0.8895 0.3704
0.9930 0.0969 0.0969
0.4930 0.6296 0.1105
0.4930 0.9031 0.9031
0.4930 0.4863 0.6983
0.9930 0.3017 0.5137
0.4930 0.6983 0.4863
0.9930 0.5137 0.3017
0.4930 0.2740 0.2740
0.9930 0.7260 0.7260
```

Properties
SG: No. 63
Raw total energy (eV per atom): -5.840


A relaxed structure of Sm3HgN. Source: Alexandria, functional PBE-GGA.

Geometry as POSCAR:
```
Sm3HgN
1.0
4.9416 0.0000 0.0000
0.0000 4.9416 0.0000
0.0000 0.0000 4.9416
N Hg Sm
1 1 3
Direct
0.0000 0.0000 0.0000
0.5000 0.5000 0.5000
0.0000 0.5000 0.0000
0.5000 0.0000 0.0000
0.0000 0.0000 0.5000
```

Properties
SG: No. 221
Uncorrected formation energy (eV/atom): -0.8157
Raw total energy (eV per atom): -5.373


A relaxed structure of PmTlO4. Source: Alexandria, functional PBE-GGA.

Geometry as POSCAR:
```
PmTlO4
1.0
-2.5351 0.7808 -2.8358
-0.1799 -3.7789 -0.8749
-4.3169 -0.6502 3.6768
Tl O Pm
1 4 1
Direct
0.0013 0.9973 0.4981
0.5011 0.9969 0.2533
0.0015 0.4977 0.7429
0.5015 0.9976 0.7429
0.0011 0.4968 0.2534
0.5013 0.4973 0.9982
```

Properties
SG: No. 123
Uncorrected formation energy (eV/atom): -1.3583
Raw total energy (eV per atom): -5.850


A relaxed structure of TbScRuO6. Source: Alexandria, functional PBE-GGA.

Geometry as POSCAR:
```
TbScRuO6
1.0
-3.5762 -3.7298 1.0743
4.2223 -1.1627 -2.9455
4.9431 -2.4231 8.0421
O Tb Sc Ru
12 2 2 2
Direct
0.3666 0.0235 0.1382
0.6334 0.6569 0.6382
0.0235 0.3666 0.6382
0.3431 0.3666 0.8618
0.0235 0.6569 0.8618
0.3431 0.9765 0.6382
0.3666 0.3431 0.3618
0.9765 0.6334 0.3618
0.6569 0.6334 0.1382
0.9765 0.3431 0.1382
0.6569 0.0235 0.3618
0.6334 0.9765 0.8618
0.0000 0.0000 0.0000
0.0000 0.0000 0.5000
0.6667 0.3333 0.7500
0.3333 0.6667 0.2500
0.6667 0.3333 0.2500
0.3333 0.6667 0.7500
```

Properties
SG: No. 163
Uncorrected formation energy (eV/atom): -2.2813
Raw total energy (eV per atom): -7.835


A relaxed structure of ZrZn2Rh2. Source: Alexandria, functional PBE-GGA.

Geometry as POSCAR:
```
ZrZn2Rh2
1.0
-2.8673 -2.7176 6.0287
2.9963 -6.3917 -1.4562
2.4934 0.8150 1.5532
Zn Zr Rh
4 2 4
Direct
0.1472 0.6472 0.5000
0.3528 0.1472 0.5000
0.8528 0.3528 0.5000
0.6472 0.8528 0.5000
0.0000 0.0000 0.0000
0.5000 0.5000 0.0000
0.6490 0.1490 0.0000
0.3510 0.8510 0.0000
0.1490 0.3510 0.0000
0.8510 0.6490 0.0000
```

Properties
SG: No. 127
Raw total energy (eV per atom): -5.641


A relaxed structure of Tb2ErAgHg4. Source: Alexandria, functional PBE-GGA.

Geometry as POSCAR:
```
Tb2ErAgHg4
1.0
5.1199 0.0000 0.0000
2.5599 4.4339 0.0000
2.5599 1.4780 8.5521
Hg Tb Ag Er
4 2 1 1
Direct
0.3714 0.3714 0.8857
0.8769 0.8769 0.3694
0.6286 0.6286 0.1143
0.1231 0.1231 0.6306
0.7573 0.7573 0.7280
0.2427 0.2427 0.2720
0.5000 0.5000 0.5000
0.0000 0.0000 0.0000
```

Properties
SG: No. 166
Raw total energy (eV per atom): -2.639


A relaxed structure of Sc2TlGe. Source: Alexandria, functional PBE-GGA.

Geometry as POSCAR:
```
Sc2TlGe
1.0
3.6113 0.0000 0.0000
0.0000 3.6113 0.0000
0.0000 0.0000 6.5579
Ge Sc Tl
1 2 1
Direct
0.5000 0.5000 0.0000
0.0000 0.0000 0.7791
0.0000 0.0000 0.2209
0.5000 0.5000 0.5000
```

Properties
SG: No. 123
Raw total energy (eV per atom): -5.321


A relaxed structure of Mn2Al2V3. Source: Alexandria, functional PBE-GGA.

Geometry as POSCAR:
```
Mn2Al2V3
1.0
-4.0364 0.5492 1.0034
1.6724 -3.8472 0.0605
3.6497 1.6652 5.0017
V Mn Al
3 2 2
Direct
0.6934 0.8467 0.5401
0.0000 0.0000 0.0000
0.3066 0.1533 0.4599
0.4305 0.7152 0.1457
0.5695 0.2848 0.8543
0.1526 0.5763 0.7290
0.8474 0.4237 0.2710
```

Properties
SG: No. 166
Raw total energy (eV per atom): -7.860


| no. | magnetization (μB/f.u.) |
| --- | --- |
| 1 | 0.00 |
| 2 | 0.00 |
| 3 | 1.25 |
| 4 | 0.00 |
| 5 | 0.00 |
| 6 | 0.00 |
| 7 | 2.01 |
| 8 | 2.01 |
| 9 | 0.00 |
| 10 | 0.00 |
| 11 | 0.80 |
| 12 | 1.05 |